1.
SbMoRh2 | GGA-PBE | relaxed

Crystal system: orthorhombic
Formation energy from raw total energies in eV/atom: 0.000

Cell lengths 5.6015, 7.8611, 2.9358 Å; angles 90.00, 90.00, 90.00 degrees
With the nearest neighbours (Å) after each atom.
Space group Cmmm (No. 65)
Unique sites:
Sb  0.0000  0.0000  0.0000 [2 per cell]  2 Mo 2.80, 8 Rh 2.82, 2 Sb 2.94
Mo  0.0000  0.5000  0.0000 [2 per cell]  2 Sb 2.80, 8 Rh 2.82, 2 Mo 2.94
Rh  0.2500  0.2500  0.5000 [4 per cell]  4 Rh 2.80-2.94, 4 Mo 2.82, 4 Sb 2.82


2.
GdYPb2 | GGA-PBE | relaxed

Crystal system: trigonal
Energy relative to the elements in kJ/mol of atoms: -46

Cell lengths 5.0982, 5.0982, 15.8972 Å; angles 90.00, 90.00, 120.00 degrees
With the nearest neighbours (Å) after each atom.
Space group R-3m (No. 166, hexagonal axes)
Unique sites:
Gd  0.0000  0.0000  0.0000 [3 per cell]  6 Pb 3.23
Y  0.0000  0.0000  0.5000 [3 per cell]  6 Pb 3.22
Pb  0.0000  0.0000  0.2494 [6 per cell]  3 Y 3.22, 3 Gd 3.23


3.
Mg7Ag5Pb | GGA-PBE | relaxed

Crystal system: orthorhombic
Energy relative to the elements in kJ/mol of atoms: -14

Cell lengths 5.6173, 9.8651, 9.7974 Å; angles 90.00, 90.00, 90.00 degrees
With the nearest neighbours (Å) after each atom.
Space group Imm2 (No. 44)
Unique sites:
Mg  0.0000  0.0000  0.0000 [2 per cell]  4 Ag 3.00, 5 Mg 3.09-3.25
Mg  0.0000  0.0000  0.3180 [2 per cell]  6 Ag 2.92-2.97, 1 Mg 3.12
Mg  0.0000  0.3041  0.1287 [4 per cell]  5 Ag 2.84-2.95, 3 Mg 3.05-3.16
Mg  0.0000  0.3428  0.6441 [4 per cell]  5 Ag 2.92-3.02, 4 Mg 3.10-3.16
Mg  0.0000  0.5000  0.3694 [2 per cell]  4 Ag 2.78, 6 Mg 3.05-3.11
Ag  0.0000  0.5000  0.9007 [2 per cell]  4 Ag 2.91, 6 Mg 2.92-2.95
Ag  0.2494  0.2575  0.3850 [8 per cell]  7 Mg 2.78-3.02, 3 Ag 2.80-2.91
Pb  0.0000  0.0000  0.6560 [2 per cell]  10 Mg 3.31-3.50, 4 Ag 3.57


4.
ThBe2Ir2 | GGA-PBE | relaxed

Energy above the most stable polymorph in this dataset in eV/f.u.: 0.00
Crystal system: tetragonal
Energy relative to the elements in kJ/mol of atoms: -70

Cell lengths 4.1510, 4.1510, 9.1117 Å; angles 90.00, 90.00, 90.00 degrees
With the nearest neighbours (Å) after each atom.
Space group I4/mmm (No. 139)
Unique sites:
Th  0.0000  0.0000  0.0000 [2 per cell]  8 Ir 3.08, 10 Be 3.19-3.32
Be  0.0000  0.0000  0.3639 [4 per cell]  4 Ir 2.32, 1 Be 2.48
Ir  0.0000  0.5000  0.2500 [4 per cell]  4 Be 2.32


5.
LiCaPmRu | GGA-PBE | relaxed

Crystal system: cubic
Energy relative to the elements in kJ/mol of atoms: -1

Cell lengths 7.1027, 7.1027, 7.1027 Å; angles 90.00, 90.00, 90.00 degrees
With the nearest neighbours (Å) after each atom.
Space group F-43m (No. 216)
Unique sites:
Li  0.0000  0.0000  0.0000 [4 per cell]  4 Ca 3.08, 4 Pm 3.08
Ca  0.2500  0.2500  0.2500 [4 per cell]  4 Li 3.08, 4 Ru 3.08
Pm  0.2500  0.2500  0.7500 [4 per cell]  4 Li 3.08, 4 Ru 3.08
Ru  0.0000  0.0000  0.5000 [4 per cell]  4 Ca 3.08, 4 Pm 3.08


6.
Tb2SmYAs4 | GGA-PBE | relaxed

Crystal system: monoclinic
Energy relative to the elements in kJ/mol of atoms: -149

Cell lengths 7.1938, 4.1563, 7.1951 Å; angles 90.00, 109.46, 90.00 degrees
With the nearest neighbours (Å) after each atom.
Space group P2/m (No. 10)
Unique sites:
Tb  0.0000  0.0000  0.0000 [1 per cell]  6 As 2.94
Tb  0.5000  0.5000  0.0000 [1 per cell]  6 As 2.92
Sm  0.0000  0.5000  0.5000 [1 per cell]  6 As 2.96
Y  0.5000  0.0000  0.5000 [1 per cell]  6 As 2.93-2.94
As  0.2519  0.5000  0.2488 [2 per cell]  3 Tb 2.92-2.94, 2 Y 2.94, 1 Sm 2.96
As  0.2533  0.0000  0.7529 [2 per cell]  3 Tb 2.92-2.94, 1 Y 2.93, 2 Sm 2.96


What are the Fermi-level density of states values for these records? In order: 1.007 0.673 0.320 0.369 0.707 0.110 states/eV per atom.